## TbBIr (PBE)

Data for a geometry-optimized TbBIr structure.

space group	No. 216
total magnetic moment	0.0	μB/f.u.
E above lowest polymorph	122	kJ/mol of formula units
DFT total energy	-6.355	eV per atom

abc: 4.3107 4.3107 4.3107
angles: 60.00 60.00 60.00
Last column: nearest neighbours and their distance in Å.
Atoms (fractional coordinates):
1 Ir 0.0000 0.0000 0.0000  4 Tb 2.64, 4 B 2.64
2 B 0.7500 0.7500 0.7500  4 Ir 2.64
3 Tb 0.2500 0.2500 0.2500  4 Ir 2.64

---

## Zr2Al2AgAu (PBE)

Data for a geometry-optimized Zr2Al2AgAu structure.

space group	No. 6
total magnetic moment	0.0	μB/f.u.
DFT total energy	-5.429	eV per atom

abc: 7.7454 4.4703 14.8314
angles: 90.00 100.01 90.00
Last column: nearest neighbours and their distance in Å.
Atoms (fractional coordinates):
1 Zr 0.9375 0.5000 0.3125  1 Ag 2.74, 3 Au 2.74
2 Zr 0.1876 0.5000 0.0626  2 Au 2.73-2.74, 2 Ag 2.74
3 Zr 0.9373 0.0000 0.8125  2 Au 2.74, 2 Ag 2.74
4 Zr 0.1874 0.0000 0.5624  4 Ag 2.74
5 Zr 0.4377 0.5000 0.8125  2 Au 2.74, 2 Ag 2.74
6 Zr 0.6876 0.5000 0.5625  3 Ag 2.74, 1 Au 2.74
7 Zr 0.6875 0.0000 0.0625  3 Au 2.73-2.74, 1 Ag 2.74
8 Zr 0.4375 0.0000 0.3124  3 Au 2.74, 1 Ag 2.74
9 Al 0.3125 0.5000 0.4377  3 Ag 2.74, 1 Au 2.75
10 Al 0.5624 0.0000 0.6873  2 Ag 2.73-2.74, 2 Au 2.74
11 Al 0.0625 0.0000 0.1876  3 Au 2.74, 1 Ag 2.74
12 Al 0.8126 0.0000 0.4376  3 Ag 2.74, 1 Au 2.75
13 Al 0.5625 0.5000 0.1875  4 Au 2.73-2.74
14 Al 0.0625 0.5000 0.6874  3 Ag 2.74, 1 Au 2.74
15 Al 0.8125 0.5000 0.9374  2 Au 2.74, 2 Ag 2.74
16 Al 0.3124 0.0000 0.9375  2 Ag 2.74, 2 Au 2.74
17 Ag 0.2502 0.0000 0.7501  4 Al 2.74, 4 Zr 2.74
18 Ag 0.5000 0.0000 0.5001  4 Al 2.73-2.74, 4 Zr 2.74
19 Ag 0.0000 0.0000 0.0001  4 Zr 2.74, 4 Al 2.74
20 Ag 0.0000 0.5000 0.5000  4 Al 2.74, 4 Zr 2.74
21 Au 0.5001 0.5000 0.0003  4 Al 2.73-2.74, 4 Zr 2.74
22 Au 0.7496 0.0000 0.2496  4 Zr 2.73-2.74, 4 Al 2.73-2.75
23 Au 0.7497 0.5000 0.7500  4 Zr 2.74, 4 Al 2.74
24 Au 0.2501 0.5000 0.2497  4 Zr 2.73-2.74, 4 Al 2.74-2.75

---

## Gd3Co (PBE)

Data for a geometry-optimized Gd3Co structure.

space group	No. 62
DFT formation energy	-0.137	eV/atom
total magnetic moment	0.0	μB/f.u.
DFT total energy	-5.405	eV per atom

abc: 6.9733 9.5625 6.2713
angles: 90.00 90.00 90.00
Last column: nearest neighbours and their distance in Å.
Atoms (fractional coordinates):
1 Gd 0.5438 0.2500 0.8562  2 Co 2.69-2.79
2 Gd 0.0438 0.2500 0.6438  2 Co 2.69-2.79
3 Gd 0.8262 0.9316 0.8240  2 Co 2.76-2.85
4 Gd 0.9562 0.7500 0.3562  2 Co 2.69-2.79
5 Gd 0.8262 0.5684 0.8240  2 Co 2.76-2.85
6 Gd 0.1738 0.4316 0.1760  2 Co 2.76-2.85
7 Gd 0.3262 0.5684 0.6760  2 Co 2.76-2.85
8 Gd 0.6738 0.0684 0.3240  2 Co 2.76-2.85
9 Gd 0.6738 0.4316 0.3240  2 Co 2.76-2.85
10 Gd 0.3262 0.9316 0.6760  2 Co 2.76-2.85
11 Gd 0.4562 0.7500 0.1438  2 Co 2.69-2.79
12 Gd 0.1738 0.0684 0.1760  2 Co 2.76-2.85
13 Co 0.3871 0.2500 0.4477  6 Gd 2.69-2.85
14 Co 0.1129 0.7500 0.9477  6 Gd 2.69-2.85
15 Co 0.6129 0.7500 0.5523  6 Gd 2.69-2.85
16 Co 0.8871 0.2500 0.0523  6 Gd 2.69-2.85

---

Q: Look up the total magnetic moment of the second one.
A: 0.0 μB/f.u.

---

Q: Which formula does entry 1 have?
A: TbBIr

---

Q: Number 2 is which compound?
A: Zr2Al2AgAu

---

Q: Look up the total magnetic moment of the first one.
A: 0.0 μB/f.u.